# 1
The following is a DFT calculation (meta-GGA SCAN) of LiY2 at its PBEsol-relaxed geometry.

Structure (extended XYZ):
```
3
Lattice="3.354 0.000 0.000 0.000 5.311 0.000 0.000 -2.655 4.599" Properties=species:S:1:pos:R:3 pbc="T T T"
Y 0.929 2.655 1.533
Y 2.426 0.000 3.066
Li 0.000 0.000 0.000
```

Calculated values
formation enthalpy at 0 K: 0.202 eV/atom
N(E_F): 2.96 states/eV/f.u.
final energy: -19.156 eV/atom
energy above the most stable polymorph in this dataset: 129.9 meV per atom

=====

# 2
The following is a DFT calculation (meta-GGA SCAN) of CaTlSbTe2 at its PBEsol-relaxed geometry.

Structure (extended XYZ):
```
5
Lattice="5.689 0.000 0.000 0.000 5.689 0.000 0.000 0.000 5.640" Properties=species:S:1:pos:R:3 pbc="T T T"
Te 0.000 2.845 0.000
Te 2.845 0.000 0.000
Sb 2.845 2.845 2.820
Tl 0.000 0.000 2.820
Ca 0.000 0.000 0.000
```

Calculated values
N(E_F): 5.35 states/eV/f.u.
final energy: -38.490 eV/atom
formation energy without anion corrections: 0.267 eV/atom

=====

# 3
The following is a DFT calculation (meta-GGA SCAN) of Tb6Fe23 at its PBEsol-relaxed geometry.

Structure (extended XYZ):
```
29
Lattice="8.281 0.000 0.000 4.140 7.171 0.000 4.140 2.390 6.761" Properties=species:S:1:pos:R:3 pbc="T T T"
Fe 8.281 4.781 5.862
Fe 8.281 2.441 4.208
Fe 2.902 1.676 1.185
Fe 6.254 5.951 4.208
Fe 5.378 1.676 1.185
Fe 4.140 0.000 0.000
Fe 6.210 3.586 0.000
Fe 4.140 2.390 3.206
Fe 13.659 7.886 5.576
Fe 2.070 1.195 3.381
Fe 6.210 1.195 3.381
Fe 10.307 5.951 4.208
Fe 8.281 4.781 3.381
Fe 8.281 4.781 0.899
Fe 10.307 3.611 2.553
Fe 11.183 7.886 5.576
Fe 12.421 5.742 5.576
Fe 12.421 7.171 3.555
Fe 8.281 7.120 2.553
Fe 6.254 3.611 2.553
Fe 4.140 3.820 1.185
Fe 4.140 4.781 3.381
Fe 2.070 3.586 0.000
Tb 10.691 3.389 5.349
Tb 5.870 3.389 5.349
Tb 5.870 6.173 1.412
Tb 8.281 1.997 1.412
Tb 10.691 6.173 1.412
Tb 8.281 7.564 5.349
```

Calculated values
formation enthalpy at 0 K: -0.010 eV/atom
N(E_F): 23.94 states/eV/f.u.
final energy: -24.064 eV/atom

=====

# 4
The following is a DFT calculation (meta-GGA SCAN) of Ba2MoAsO at its PBEsol-relaxed geometry.

Structure (extended XYZ):
```
5
Lattice="4.274 0.000 0.000 0.000 5.435 0.000 0.000 0.000 5.435" Properties=species:S:1:pos:R:3 pbc="T T T"
O 0.000 0.000 0.000
Ba 0.000 0.000 2.718
Ba 0.000 2.718 0.000
Mo 2.137 2.718 2.718
As 2.137 0.000 0.000
```

Calculated values
N(E_F): 1.56 states/eV/f.u.
final energy: -28.415 eV/atom
formation energy without anion corrections: -0.334 eV/atom

=====

# 5
The following is a DFT calculation (meta-GGA SCAN) of ZrZn at its PBEsol-relaxed geometry.

Structure (extended XYZ):
```
4
Lattice="3.107 0.000 0.000 0.000 4.837 -0.007 -1.554 -2.407 4.741" Properties=species:S:1:pos:R:3 pbc="T T T"
Zn 1.554 3.637 1.385
Zn 0.000 -1.207 3.350
Zr 0.000 1.217 1.083
Zr 1.554 1.212 3.651
```

Calculated values
formation enthalpy at 0 K: -0.275 eV/atom
N(E_F): 1.89 states/eV/f.u.
final energy: -22.382 eV/atom

=====

# 6
The following is a DFT calculation (meta-GGA SCAN) of KTc3I at its PBEsol-relaxed geometry.

Structure (extended XYZ):
```
5
Lattice="-3.753 1.272 -2.860 0.009 -4.461 -1.996 -3.130 -1.538 3.423" Properties=species:S:1:pos:R:3 pbc="T T T"
Tc -1.877 0.636 -1.430
Tc -1.565 -0.769 1.712
Tc 0.005 -2.230 -0.998
I 0.000 0.000 0.000
K -3.437 -2.364 -0.716
```

Calculated values
N(E_F): 3.29 states/eV/f.u.
final energy: -28.114 eV/atom
formation energy without anion corrections: 1.936 eV/atom

=====

# 7
The following is a DFT calculation (meta-GGA SCAN) of InSiNO2 at its PBEsol-relaxed geometry.

Structure (extended XYZ):
```
5
Lattice="-1.431 1.020 3.700 -2.942 -2.828 -0.358 2.507 -2.829 1.750" Properties=species:S:1:pos:R:3 pbc="T T T"
O -0.716 0.510 1.850
O -1.471 -1.414 -0.179
N 1.254 -1.415 0.875
Si -0.933 -2.318 2.546
In 0.000 0.000 0.000
```

Calculated values
N(E_F): 2.17 states/eV/f.u.
final energy: -12.483 eV/atom
formation energy without anion corrections: 0.548 eV/atom

=====

# 8
The following is a DFT calculation (meta-GGA SCAN) of Fe3Co2 at its PBEsol-relaxed geometry.

Structure (extended XYZ):
```
5
Lattice="-1.707 1.691 -0.329 -2.737 -2.822 -0.297 1.053 1.115 5.883" Properties=species:S:1:pos:R:3 pbc="T T T"
Fe -0.854 0.845 -0.165
Fe -2.967 0.048 0.717
Fe -0.425 -0.065 4.539
Co -0.622 0.373 2.190
Co -2.770 -0.390 3.067
```

Calculated values
formation enthalpy at 0 K: -0.122 eV/atom
N(E_F): 2.20 states/eV/f.u.
final energy: -17.921 eV/atom
energy above the most stable polymorph in this dataset: 0.0 meV per atom

=====

# 9
The following is a DFT calculation (meta-GGA SCAN) of Re2GeAuI at its PBEsol-relaxed geometry.

Structure (extended XYZ):
```
5
Lattice="4.639 0.000 0.000 0.000 4.639 0.000 0.000 0.000 5.309" Properties=species:S:1:pos:R:3 pbc="T T T"
Au 2.319 2.319 2.654
Re 0.000 2.319 0.000
Re 2.319 0.000 0.000
I 0.000 0.000 2.654
Ge 0.000 0.000 0.000
```

Calculated values
N(E_F): 5.03 states/eV/f.u.
final energy: -51.225 eV/atom
formation energy without anion corrections: 2.212 eV/atom

=====

# 10
The following is a DFT calculation (meta-GGA SCAN) of KMgPb2 at its PBEsol-relaxed geometry.

Structure (extended XYZ):
```
4
Lattice="-2.152 -2.836 -0.066 3.958 -0.847 3.412 -4.610 3.393 4.546" Properties=species:S:1:pos:R:3 pbc="T T T"
K -2.305 1.696 2.273
Pb -3.341 0.174 5.450
Pb 0.537 -0.464 2.442
Mg -1.076 -1.418 -0.033
```

Calculated values
formation enthalpy at 0 K: -0.214 eV/atom
N(E_F): 2.06 states/eV/f.u.
final energy: -41.430 eV/atom

=====

# 11
The following is a DFT calculation (meta-GGA SCAN) of AgIrNF2 at its PBEsol-relaxed geometry.

Structure (extended XYZ):
```
5
Lattice="3.649 0.000 0.000 0.000 4.354 0.000 0.000 0.000 4.354" Properties=species:S:1:pos:R:3 pbc="T T T"
F 0.000 0.000 2.177
F 0.000 2.177 0.000
Ir 0.000 0.000 0.000
N 1.825 0.000 0.000
Ag 1.825 2.177 2.177
```

Calculated values
N(E_F): 1.65 states/eV/f.u.
final energy: -24.043 eV/atom
formation energy without anion corrections: -0.276 eV/atom

=====

# 12
The following is a DFT calculation (meta-GGA SCAN) of CuW2Au at its PBEsol-relaxed geometry.

Structure (extended XYZ):
```
4
Lattice="2.698 0.010 0.000 -0.780 2.583 0.000 0.000 0.000 8.644" Properties=species:S:1:pos:R:3 pbc="T T T"
W 0.000 0.000 0.089
W 0.959 1.296 6.538
Au 0.000 0.000 4.220
Cu 0.959 1.296 2.119
```

Calculated values
formation enthalpy at 0 K: 0.218 eV/atom
N(E_F): 1.57 states/eV/f.u.
final energy: -55.715 eV/atom
energy above the most stable polymorph in this dataset: 0.0 meV per atom